BeHgSb: relaxed, GGA-PBEsol.

Properties
- Crystal system: orthorhombic
- Energy above the most stable polymorph in this dataset: 155 meV/atom
- E_form (uncorrected): 9.11 kcal/mol of atoms

a b c (Å): 3.8439 5.1117 12.0764
angles (deg): 90.00 90.00 90.00
Atoms (fractional coordinates):
Be (0.0000, 0.0000, 0.0000)
Be (0.0000, 0.5000, 0.5000)
Be (0.5000, 0.0000, 0.5000)
Be (0.5000, 0.5000, 0.0000)
Hg (0.0000, 0.0000, 0.6355)
Hg (0.0000, 0.5000, 0.1355)
Hg (0.5000, 0.0000, 0.1355)
Hg (0.5000, 0.5000, 0.6355)
Sb (0.0000, 0.0000, 0.3570)
Sb (0.0000, 0.5000, 0.8570)
Sb (0.5000, 0.0000, 0.8570)
Sb (0.5000, 0.5000, 0.3570)

---

Sm6CdSi2S14: relaxed, GGA-PBEsol.

Properties
- Crystal system: trigonal
- E_form (uncorrected): -38.05 kcal/mol of atoms

a b c (Å): 9.9898 9.9898 5.6129
angles (deg): 90.00 90.00 120.00
Atoms (fractional coordinates):
Sm (0.0247, 0.5661, 0.0000)
Sm (0.3082, 0.1006, 0.4956)
Sm (0.4339, 0.4586, 0.0000)
Sm (0.5414, 0.9753, 0.0000)
Sm (0.7924, 0.6918, 0.4956)
Sm (0.8994, 0.2076, 0.4956)
Cd (0.6667, 0.3333, 0.7555)
Si (0.0000, 0.0000, 0.9083)
Si (0.3333, 0.6667, 0.4155)
S (0.0000, 0.0000, 0.2828)
S (0.0791, 0.8542, 0.7611)
S (0.1458, 0.2249, 0.7611)
S (0.1879, 0.4422, 0.2660)
S (0.2542, 0.8121, 0.2660)
S (0.3333, 0.6667, 0.7892)
S (0.4081, 0.1640, 0.0082)
S (0.4987, 0.4251, 0.5156)
S (0.5578, 0.7458, 0.2660)
S (0.5749, 0.0736, 0.5156)
S (0.7560, 0.5919, 0.0082)
S (0.7751, 0.9209, 0.7611)
S (0.8360, 0.2440, 0.0082)
S (0.9264, 0.5013, 0.5156)

---

TaCoPt2: relaxed, GGA-PBEsol.

Properties
- Crystal system: tetragonal
- Energy above the most stable polymorph in this dataset: 18 meV/atom
- Energy of formation from the pure elements: -556 meV/atom

a b c (Å): 3.8064 3.8064 3.9072
angles (deg): 90.00 90.00 90.00
Atoms (fractional coordinates):
Ta (0.0000, 0.0000, 0.0000)
Co (0.5000, 0.5000, 0.0000)
Pt (0.0000, 0.5000, 0.5000)
Pt (0.5000, 0.0000, 0.5000)

---

AlS2I: relaxed, GGA-PBEsol.

Properties
- Crystal system: trigonal
- E_form (uncorrected): -13.03 kcal/mol of atoms

a b c (Å): 3.6786 3.6786 23.1117
angles (deg): 90.00 90.00 120.00
Atoms (fractional coordinates):
Al (0.0000, 0.0000, 0.0000)
Al (0.3333, 0.6667, 0.6667)
Al (0.6667, 0.3333, 0.3333)
S (0.0000, 0.0000, 0.3865)
S (0.0000, 0.0000, 0.6135)
S (0.3333, 0.6667, 0.0531)
S (0.3333, 0.6667, 0.2802)
S (0.6667, 0.3333, 0.7198)
S (0.6667, 0.3333, 0.9469)
I (0.0000, 0.0000, 0.5000)
I (0.3333, 0.6667, 0.1667)
I (0.6667, 0.3333, 0.8333)

---

Number 1: M_tot 0.0 μB/f.u.. Number 2: M_tot 0.0 μB/f.u.. Number 3: M_tot 0.0 μB/f.u.. Number 4: M_tot 0.0 μB/f.u..